[1]
Material: AcErZnSb
Method: DFT, PBE
State: relaxed

Calculated total energy in eV/cell: -63.83
Energy relative to the elements, uncorrected in kcal/mol of atoms: -10.9

Lattice parameters (Å, degrees): 7.6934 7.6934 7.6934 90.00 90.00 90.00
Last column: nearest neighbours and their distance in Å.
Space group F-43m (No. 216)
One atom of each set of equivalent atoms:
Ac  0.0000  0.0000  0.0000 [4 per cell]  4 Sb 3.33, 4 Zn 3.33
Er  0.0000  0.0000  0.5000 [4 per cell]  4 Zn 3.33, 4 Sb 3.33
Zn  0.2500  0.2500  0.2500 [4 per cell]  4 Ac 3.33, 4 Er 3.33
Sb  0.2500  0.2500  0.7500 [4 per cell]  4 Ac 3.33, 4 Er 3.33

***

[2]
Material: Er2Tm3Th
Method: DFT, PBE
State: relaxed

Calculated total energy in eV/cell: -113.60
Energy relative to the lowest polymorph listed for this composition in meV/atom: 225
Formation energy in meV/atom: 260

Lattice parameters (Å, degrees): 9.3403 13.0225 6.2936 90.00 90.00 90.00
Last column: nearest neighbours and their distance in Å.
Space group Cmc2_1 (No. 36)
One atom of each set of equivalent atoms:
Er  0.1808  0.1892  0.0000 [8 per cell]  2 Th 3.17-3.21, 3 Tm 3.35-3.42, 1 Er 3.38
Tm  0.0000  0.4148  0.7931 [4 per cell]  3 Th 3.22-3.46, 2 Tm 3.31
Tm  0.1830  0.0674  0.5260 [8 per cell]  4 Tm 3.31-3.60, 4 Er 3.35-3.67
Th  0.0000  0.3288  0.3137 [4 per cell]  4 Er 3.17-3.21, 3 Tm 3.22-3.46

***

[3]
Material: Nd12Eu3Tm5
Method: DFT, PBE
State: relaxed

Calculated total energy in eV/cell: -722.64
Formation energy in meV/atom: 1003

Lattice parameters (Å, degrees): 19.1381 19.1381 19.1381 90.00 90.00 90.00
Last column: nearest neighbours and their distance in Å.
Space group Ia-3d (No. 230)
One atom of each set of equivalent atoms:
Nd  0.0118  0.0799  0.6440 [96 per cell]  2 Tm 3.16-3.34, 1 Eu 3.28
Eu  0.0000  0.2500  0.1250 [24 per cell]  8 Nd 3.28-3.65
Tm  0.0000  0.0000  0.0000 [16 per cell]  6 Nd 3.16
Tm  0.0000  0.2500  0.3750 [24 per cell]  4 Nd 3.34

***

[4]
Material: RbIn2SnBi
Method: DFT, PBE
State: relaxed

Calculated total energy in eV/cell: -30.20
Formation energy in meV/atom: -155

Lattice parameters (Å, degrees): 5.3787 5.3787 11.9550 90.00 90.00 90.00
Last column: nearest neighbours and their distance in Å.
Space group I-4m2 (No. 119)
One atom of each set of equivalent atoms:
Rb  0.0000  0.0000  0.0000 [2 per cell]  4 Sn 4.02, 4 Bi 4.02, 8 In 4.07
In  0.0000  0.0000  0.3789 [4 per cell]  1 In 2.90, 2 Sn 3.10, 2 Bi 3.10
Sn  0.0000  0.5000  0.7500 [2 per cell]  4 In 3.10
Bi  0.0000  0.5000  0.2500 [2 per cell]  4 In 3.10

***

[5]
Material: RbReAs2
Method: DFT, PBE
State: relaxed

Calculated total energy in eV/cell: -76.02
Energy relative to the lowest polymorph listed for this composition in meV/atom: 914
Formation energy in meV/atom: 927

Lattice parameters (Å, degrees): 6.8185 6.8185 6.8185 90.00 90.00 90.00
Last column: nearest neighbours and their distance in Å.
Space group Fm-3m (No. 225)
One atom of each set of equivalent atoms:
Rb  0.0000  0.0000  0.0000 [4 per cell]  8 As 2.95
Re  0.0000  0.0000  0.5000 [4 per cell]  8 As 2.95
As  0.2500  0.2500  0.2500 [8 per cell]  4 Re 2.95, 4 Rb 2.95

***

[6]
Material: Ho2Ge4Pd3Rh
Method: DFT, PBE
State: relaxed

Calculated total energy in eV/cell: -58.32
Formation energy in meV/atom: -777

Lattice parameters (Å, degrees): 4.0975 4.0975 10.8948 90.00 90.00 90.00
Last column: nearest neighbours and their distance in Å.
Space group P-4m2 (No. 115)
One atom of each set of equivalent atoms:
Ho  0.0000  0.5000  0.2433 [2 per cell]  8 Ge 3.13-3.47, 6 Pd 3.15-3.35, 2 Rh 3.35
Ge  0.0000  0.0000  0.5000 [1 per cell]  4 Pd 2.58
Ge  0.0000  0.5000  0.8665 [2 per cell]  3 Pd 2.43-2.51, 2 Rh 2.51
Ge  0.5000  0.5000  0.5000 [1 per cell]  4 Pd 2.58
Pd  0.0000  0.0000  0.0000 [1 per cell]  4 Ge 2.51
Pd  0.0000  0.5000  0.6437 [2 per cell]  5 Ge 2.43-2.58
Rh  0.5000  0.5000  0.0000 [1 per cell]  4 Ge 2.51